Entry 1:
Entry from the Alexandria database: an optimized crystal structure of USi2TcIr (GGA-PBE).

Cell lengths 4.1707, 4.1707, 5.6450 Å; angles 111.68, 111.68, 90.00 degrees
Fractional coordinates of all 5 atoms:
Ir 0.2500 0.7500 0.5000
Si 0.6241 0.6241 0.2481
Si 0.3759 0.3759 0.7519
U 0.0000 0.0000 0.0000
Tc 0.7500 0.2500 0.5000

Symmetry: I-4m2 (119)
E_form (uncorrected) (eV per formula unit): -3.3

***

Entry 2:
Entry from the Alexandria database: an optimized crystal structure of Tl2HgI2 (GGA-PBE).

Cell lengths 9.3786, 9.3786, 4.5462 Å; angles 90.00, 90.00, 90.00 degrees
Fractional coordinates of all 10 atoms:
Tl 0.1440 0.3560 0.0000
Tl 0.8560 0.6440 0.0000
Tl 0.6440 0.1440 0.0000
Tl 0.3560 0.8560 0.0000
I 0.6599 0.8401 0.5000
I 0.3401 0.1599 0.5000
I 0.8401 0.3401 0.5000
I 0.1599 0.6599 0.5000
Hg 0.0000 0.0000 0.0000
Hg 0.5000 0.5000 0.0000

Symmetry: P4/mbm (127)
E_form (uncorrected) (eV per formula unit): -2.4

***

Entry 3:
Entry from the Alexandria database: an optimized crystal structure of Pm4HoEr2 (GGA-PBE).

Cell lengths 12.4937, 12.4936, 6.7720 Å; angles 97.03, 97.03, 150.16 degrees
Fractional coordinates of all 14 atoms:
Pm 0.7951 0.1857 0.3948
Pm 0.6001 0.5627 0.6398
Pm 0.1503 0.0409 0.1055
Pm 0.0409 0.1503 0.6056
Pm 0.1857 0.7951 0.8948
Pm 0.1731 0.7104 0.3603
Pm 0.5627 0.6001 0.1398
Pm 0.7104 0.1731 0.8604
Ho 0.6735 0.4235 0.0004
Ho 0.4235 0.6735 0.5004
Er 0.3021 0.6207 0.9504
Er 0.6207 0.3021 0.4504
Er 0.1022 0.9208 0.5503
Er 0.9208 0.1022 0.0503

Symmetry: Fdd2 (43)
Formation energy (eV/f.u.): 0.39

***

Entry 4:
Entry from the Alexandria database: an optimized crystal structure of VSiRu3 (GGA-PBE).

Cell lengths 4.1672, 4.1579, 8.0120 Å; angles 90.00, 105.06, 90.00 degrees
Fractional coordinates of all 10 atoms:
Ru 0.5743 0.3444 0.4301
Ru 0.7624 0.3444 0.8063
Ru 0.0748 0.8444 0.4327
Ru 0.4514 0.8444 0.1844
Ru 0.9508 0.3444 0.1819
Ru 0.2632 0.8444 0.8083
V 0.1614 0.3444 0.6032
V 0.8643 0.8444 0.0114
Si 0.3590 0.3444 0.9991
Si 0.6667 0.8444 0.6155

Symmetry: P2_1/m (11)
E_form (uncorrected) (eV per formula unit): -2.0

***

Density of states at the Fermi level, record by record: 5.14 0.00 10.03 2.81 states/eV/f.u.